First-principles (GGA-PBE) data for a relaxed structure of ReP3F, as listed in Alexandria.

a b c (Å): 4.588 4.588 4.588
angles (deg): 90.00 90.00 90.00
Atoms (fractional coordinates):
Re: 0.000 0.000 0.000
P: 0.000 0.000 0.500
P: 0.000 0.500 0.000
P: 0.500 0.000 0.000
F: 0.500 0.500 0.500

## Properties
- Crystal system: cubic
- Total energy: -5.862 eV per atom
- Total moment: 0.000 μB/f.u.
- Volume: 96.6 Å³/f.u.
- Density of states at the Fermi level: 0.782 states/eV per atom